(1)
The following is a DFT calculation (GGA-PBE) of KCr3S after structural relaxation. Values from VASP.

VASP energy	-0.43661	Ry/atom
calculated density	4.0	g/cm3
uncorrected formation energy	84.77	kJ/mol of atoms

Geometry as Quantum ESPRESSO input:
```
&SYSTEM
  ibrav = 0, nat = 5, ntyp = 3
/
ATOMIC_SPECIES
Cr 52.00 Cr.upf
K 39.10 K.upf
S 32.06 S.upf
CELL_PARAMETERS angstrom
4.534 0.000 0.000
0.000 4.534 0.000
0.000 0.000 4.534
ATOMIC_POSITIONS angstrom
Cr 2.267 0.000 0.000
Cr 0.000 2.267 0.000
K 2.267 2.267 2.267
Cr 0.000 0.000 2.267
S 0.000 0.000 0.000
```

---

(2)
The following is a DFT calculation (GGA-PBE) of K2CrS4 after structural relaxation. Values from VASP.

VASP energy	-0.33425	Ry/atom
calculated density	2.5	g/cm3
uncorrected formation energy	-48.32	kJ/mol of atoms

Geometry as Quantum ESPRESSO input:
```
&SYSTEM
  ibrav = 0, nat = 7, ntyp = 3
/
ATOMIC_SPECIES
S 32.06 S.upf
K 39.10 K.upf
Cr 52.00 Cr.upf
CELL_PARAMETERS angstrom
-0.119 0.789 4.590
-4.597 -0.759 0.011
-1.067 -7.788 3.675
ATOMIC_POSITIONS angstrom
S -0.060 0.394 2.295
K -3.814 -5.421 5.562
S -1.440 -5.533 3.278
S -2.299 -0.379 0.006
Cr 0.000 0.000 0.000
S -4.343 -2.225 4.999
K -1.969 -2.337 2.715
```

---

(3)
The following is a DFT calculation (GGA-PBE) of K3Cr11S18 after structural relaxation. Values from VASP.

VASP energy	-0.48185	Ry/atom
calculated density	3.4	g/cm3
uncorrected formation energy	-79.43	kJ/mol of atoms

Geometry as Quantum ESPRESSO input:
```
&SYSTEM
  ibrav = 0, nat = 32, ntyp = 3
/
ATOMIC_SPECIES
Cr 52.00 Cr.upf
S 32.06 S.upf
K 39.10 K.upf
CELL_PARAMETERS angstrom
-4.435 9.701 -1.759
-7.348 7.861 -1.035
0.054 5.982 15.425
ATOMIC_POSITIONS angstrom
Cr -8.285 14.959 4.673
S -4.968 7.462 -1.032
Cr -9.945 19.204 8.780
Cr -1.922 6.985 10.019
S -6.794 11.806 2.659
S -11.675 22.578 10.388
Cr -4.763 12.378 12.288
S -10.186 18.663 6.433
Cr -1.784 4.340 3.851
S -8.555 14.475 2.354
S -0.685 4.973 9.883
S -0.053 0.967 2.243
S -4.290 7.774 2.492
K -2.250 8.847 13.429
S -7.439 15.770 10.139
S -6.761 16.082 13.663
Cr -5.523 9.769 2.598
Cr -6.966 11.167 0.343
Cr -6.206 13.776 10.032
Cr -9.807 16.559 2.612
S -1.543 4.881 6.197
S -11.044 18.572 2.748
K -9.478 14.698 -0.798
S -8.303 15.866 6.904
S -3.425 7.678 5.727
K -5.864 11.772 6.315
S -4.935 11.738 9.972
Cr -3.444 8.585 7.958
S -1.966 3.693 1.473
Cr 0.000 0.000 0.000
S -3.173 9.069 10.277
S -9.763 19.851 11.158
```

---

(4)
The following is a DFT calculation (GGA-PBE) of KCr2S4 after structural relaxation. Values from VASP.

VASP energy	-0.42933	Ry/atom
calculated density	3.1	g/cm3
uncorrected formation energy	-55.62	kJ/mol of atoms

Geometry as Quantum ESPRESSO input:
```
&SYSTEM
  ibrav = 0, nat = 56, ntyp = 3
/
ATOMIC_SPECIES
S 32.06 S.upf
Cr 52.00 Cr.upf
K 39.10 K.upf
CELL_PARAMETERS angstrom
11.388 0.000 0.000
0.000 8.158 0.000
0.000 0.000 12.475
ATOMIC_POSITIONS angstrom
S 8.663 3.366 3.359
S 8.084 6.981 10.449
S 8.419 3.366 9.596
S 4.859 2.642 8.127
S 2.741 3.183 6.200
S 2.969 4.792 3.359
Cr 9.653 3.103 5.341
S 8.212 1.446 0.571
K 1.190 7.155 4.291
Cr 9.809 5.323 10.348
K 4.504 7.155 10.528
S 2.953 3.183 12.438
S 10.553 5.516 8.127
S 5.313 6.658 4.330
K 10.810 5.368 2.055
S 8.870 1.446 6.808
Cr 1.735 5.055 11.579
K 0.578 2.790 8.292
S 11.159 0.097 0.939
Cr 1.763 1.079 0.229
Cr 9.625 7.079 6.467
S 2.725 4.792 9.596
Cr 6.956 1.704 8.407
Cr 1.262 6.455 8.407
Cr 7.429 3.103 11.579
S 5.924 0.097 7.177
K 10.198 1.003 10.528
S 0.381 6.658 10.568
S 3.176 6.713 6.808
Cr 3.931 1.079 6.467
Cr 4.115 2.835 10.348
Cr 7.273 5.323 4.110
S 2.389 1.177 10.449
S 6.075 1.500 10.568
K 5.116 2.790 2.055
S 11.274 3.833 11.416
S 5.580 4.325 11.416
S 11.007 1.500 4.330
S 5.808 3.833 5.178
S 0.835 2.642 1.890
Cr 4.432 6.455 2.169
S 0.114 4.325 5.178
S 8.999 6.981 4.212
S 8.435 4.975 6.200
Cr 1.579 2.835 4.110
Cr 7.458 7.079 0.229
K 6.272 5.368 8.292
S 8.647 4.975 12.438
Cr 3.959 5.055 5.341
Cr 10.126 1.704 2.169
S 0.229 8.061 7.177
S 3.305 1.177 4.212
S 5.465 8.061 0.939
K 6.884 1.003 4.291
S 2.518 6.713 0.571
S 6.529 5.516 1.890
```

---

(5)
The following is a DFT calculation (GGA-PBE) of KCr2S4 after structural relaxation. Values from VASP.

VASP energy	-0.43098	Ry/atom
calculated density	2.9	g/cm3
uncorrected formation energy	-57.78	kJ/mol of atoms

Geometry as Quantum ESPRESSO input:
```
&SYSTEM
  ibrav = 0, nat = 14, ntyp = 3
/
ATOMIC_SPECIES
S 32.06 S.upf
Cr 52.00 Cr.upf
K 39.10 K.upf
CELL_PARAMETERS angstrom
-1.146 -2.822 6.979
5.206 -4.571 3.161
4.198 2.483 5.848
ATOMIC_POSITIONS angstrom
S 7.013 -4.170 13.575
Cr 3.063 -4.310 7.068
Cr 2.559 -0.784 8.412
Cr 5.162 -3.069 9.992
S 4.948 -2.357 12.322
S 5.375 -3.781 7.662
S 2.856 -3.088 9.176
K 0.000 0.000 0.000
S 3.311 -1.968 6.408
S 5.348 -5.154 11.256
S 4.976 -0.984 8.728
S 7.468 -3.050 10.808
Cr 5.735 -1.658 6.502
K 2.065 -1.228 3.997
```

---

(6)
The following is a DFT calculation (GGA-PBE) of KCr2S4 after structural relaxation. Values from VASP.

VASP energy	-0.44312	Ry/atom
calculated density	3.4	g/cm3
uncorrected formation energy	-73.72	kJ/mol of atoms

Geometry as Quantum ESPRESSO input:
```
&SYSTEM
  ibrav = 0, nat = 28, ntyp = 3
/
ATOMIC_SPECIES
S 32.06 S.upf
K 39.10 K.upf
Cr 52.00 Cr.upf
CELL_PARAMETERS angstrom
3.568 0.000 0.000
0.000 11.365 0.000
0.000 0.000 13.013
ATOMIC_POSITIONS angstrom
S 0.892 3.341 8.230
K 2.676 2.932 10.836
S 0.892 10.142 6.693
K 2.676 8.615 8.684
S 2.676 4.910 5.543
Cr 2.676 10.490 5.152
S 0.892 6.455 7.470
K 0.892 2.750 4.329
S 2.676 8.024 4.783
Cr 0.892 6.558 11.658
S 0.892 9.024 11.290
Cr 2.676 4.807 1.355
S 2.676 2.342 1.723
Cr 0.892 6.442 5.115
S 0.892 4.459 12.826
S 2.676 10.593 0.963
Cr 0.892 0.875 7.861
S 2.676 1.223 6.320
S 0.892 0.772 12.049
S 2.676 6.906 0.186
S 0.892 5.441 2.807
K 0.892 8.433 2.177
Cr 2.676 4.923 7.897
Cr 0.892 0.760 1.391
S 2.676 5.924 10.206
Cr 2.676 10.605 11.622
S 2.676 0.241 9.314
S 0.892 11.124 3.699
```

---

Which value of uncorrected formation energy does entry 2 give? -48.32 kJ/mol of atoms